Record 1
HgW2Au PBE-GGA relaxed; total moment = 0.0 μB/f.u.; energy = -6.700 eV/atom; SG = R-3m
1.0
9.789 -0.017 -0.010
9.367 2.843 -0.010
9.367 1.382 2.485
Au Hg W
1 1 2
direct
0.250 0.250 0.250 Au
0.750 0.750 0.750 Hg
0.998 0.998 0.998 W
0.502 0.502 0.502 W



Record 2
Ho4Co7Ge6 PBE-GGA relaxed; total moment = 0.0 μB/f.u.; energy = -6.196 eV/atom; SG = Im-3m
1.0
-2.968 6.277 -0.983
-3.941 -3.786 4.395
6.402 0.843 2.736
Ho Co Ge
4 7 6
direct
0.500 0.000 0.000 Ho
0.500 0.500 0.500 Ho
0.000 0.500 0.000 Ho
0.000 0.000 0.500 Ho
0.750 0.500 0.250 Co
0.250 0.750 0.500 Co
0.500 0.750 0.250 Co
0.750 0.250 0.500 Co
0.250 0.500 0.750 Co
0.500 0.250 0.750 Co
0.000 0.000 0.000 Co
0.673 0.000 0.673 Ge
0.673 0.673 0.000 Ge
0.000 0.327 0.327 Ge
0.327 0.000 0.327 Ge
0.327 0.327 0.000 Ge
0.000 0.673 0.673 Ge



Record 3
Li15Mg4Al PBE-GGA relaxed; total moment = 0.0 μB/f.u.; energy = -1.972 eV/atom; SG = P4/mmm
1.0
4.230 0.000 0.000
0.000 4.230 0.000
0.000 0.000 21.758
Li Mg Al
15 4 1
direct
0.500 0.500 0.000 Li
0.500 0.500 0.192 Li
0.500 0.500 0.396 Li
0.500 0.500 0.604 Li
0.500 0.500 0.808 Li
0.500 0.000 0.089 Li
0.500 0.000 0.293 Li
0.500 0.000 0.500 Li
0.500 0.000 0.707 Li
0.500 0.000 0.911 Li
0.000 0.500 0.089 Li
0.000 0.500 0.293 Li
0.000 0.500 0.500 Li
0.000 0.500 0.707 Li
0.000 0.500 0.911 Li
0.000 0.000 0.190 Mg
0.000 0.000 0.396 Mg
0.000 0.000 0.604 Mg
0.000 0.000 0.810 Mg
0.000 0.000 0.000 Al



Record 4
CsSc3Se PBE-GGA relaxed; total moment = 0.0 μB/f.u.; energy = -3.292 eV/atom; E_form (uncorrected) = 1374 meV per atom; SG = Pm-3m
1.0
-2.541 4.611 -0.052
-4.608 -2.541 -0.167
-0.172 -0.035 5.262
Cs Sc Se
1 3 1
direct
0.000 0.000 0.000 Cs
0.000 0.500 0.000 Sc
0.000 0.000 0.500 Sc
0.500 0.000 0.000 Sc
0.500 0.500 0.500 Se



Fermi-level density of states for the records above, in order: 3.22; 11.42; 7.90; 6.25 states/eV/f.u.
Calculated density for the records above, in order: 18.19; 9.43; 0.97; 3.94 g cm⁻³